Computed, not measured: Sm2Ni7 after structural relaxation at the PBE level of DFT.

a = 4.9842 Å, b = 4.9842 Å, c = 24.3383 Å
α = 90.00°, β = 90.00°, γ = 120.00°
Sites, in units of the cell vectors:
1 Sm 0.3333 0.6667 0.0296
2 Sm 0.3333 0.6667 0.1742
3 Sm 0.3333 0.6667 0.3258
4 Sm 0.3333 0.6667 0.4704
5 Sm 0.6667 0.3333 0.5296
6 Sm 0.6667 0.3333 0.6742
7 Sm 0.6667 0.3333 0.8258
8 Sm 0.6667 0.3333 0.9704
9 Ni 0.0000 0.0000 0.0000
10 Ni 0.0000 0.0000 0.1683
11 Ni 0.0000 0.0000 0.3317
12 Ni 0.0000 0.0000 0.5000
13 Ni 0.0000 0.0000 0.6683
14 Ni 0.0000 0.0000 0.8317
15 Ni 0.1666 0.3331 0.5867
16 Ni 0.1666 0.3331 0.9133
17 Ni 0.1669 0.3338 0.7500
18 Ni 0.1666 0.8334 0.5867
19 Ni 0.1669 0.8331 0.7500
20 Ni 0.1666 0.8334 0.9133
21 Ni 0.3331 0.1666 0.0867
22 Ni 0.3331 0.1666 0.4133
23 Ni 0.3333 0.6667 0.6678
24 Ni 0.3333 0.6667 0.8322
25 Ni 0.3338 0.1669 0.2500
26 Ni 0.6662 0.8331 0.7500
27 Ni 0.6667 0.3333 0.1678
28 Ni 0.6667 0.3333 0.3322
29 Ni 0.6669 0.8334 0.5867
30 Ni 0.6669 0.8334 0.9133
31 Ni 0.8334 0.1666 0.0867
32 Ni 0.8331 0.1669 0.2500
33 Ni 0.8334 0.1666 0.4133
34 Ni 0.8331 0.6662 0.2500
35 Ni 0.8334 0.6669 0.0867
36 Ni 0.8334 0.6669 0.4133

Summary:
Calculated volume   14.5 Å³/atom
Energy of formation from the pure elements   -7.78 kcal/mol of atoms
Fermi-level density of states   9.9 states/eV/f.u.
SG   P6_3/mmc
Total DFT energy (no corrections)   -5.883 eV per atom